## NbIr2BrN (PBE)

Data for NbIr2BrN after structural relaxation.

CIF file:
```
data_NbIr2BrN
_symmetry_space_group_name_H-M 'P 4/m m m'
_symmetry_Int_Tables_number 123
_symmetry_space_group_name_Hall '-P 4 2'
_cell_length_a 3.899
_cell_length_b 3.899
_cell_length_c 5.524
_cell_angle_alpha 90.00
_cell_angle_beta 90.00
_cell_angle_gamma 90.00
loop_
_atom_site_label
_atom_site_type_symbol
_atom_site_fract_x
_atom_site_fract_y
_atom_site_fract_z
Nb1 Nb 0.000 0.000 0.000
Ir1 Ir 0.000 0.500 0.500
Br1 Br 0.500 0.500 0.000
N1 N 0.500 0.500 0.500
```

Results
- ΔE_f (raw) (eV/atom) = 0.76